Computed, not measured: a geometry-optimized GaSn2O6 structure at the PBE level of DFT.

Unit cell a=4.7789 b=4.7789 c=9.5112 alpha=90.00 beta=90.00 gamma=90.00
Space group P4_2/mnm (No. 136)
Inequivalent atoms, fractional coordinates:
Ga  0.0000  0.0000  0.0000 [2 per cell]
Sn  0.0000  0.0000  0.3320 [4 per cell]
O  0.1917  0.1917  0.1608 [8 per cell]
O  0.2012  0.2012  0.5000 [4 per cell]

Summary:
Density of states at the Fermi level, states/eV per cell: 14.16
E_tot, eV/atom: -5.997
Energy relative to the elements, uncorrected, eV per atom: -1.47